# 1
Computed, not measured: an optimized crystal structure of LuZrReRh at the GGA-PBE level of DFT.

Values from the calculation:
energy	-0.6359	Ry per atom
ΔH_f (0 K)	-434	meV per atom
symmetry	No. 216
crystal system	cubic

Cell lengths 6.6501, 6.6501, 6.6501 Å; angles 90.00, 90.00, 90.00 degrees
Fractional coordinates of all 16 atoms:
Lu1 0.0000 0.0000 0.0000
Lu2 0.0000 0.5000 0.5000
Lu3 0.5000 0.0000 0.5000
Lu4 0.5000 0.5000 0.0000
Zr1 0.0000 0.0000 0.5000
Zr2 0.0000 0.5000 0.0000
Zr3 0.5000 0.0000 0.0000
Zr4 0.5000 0.5000 0.5000
Re1 0.2500 0.2500 0.2500
Re2 0.2500 0.7500 0.7500
Re3 0.7500 0.2500 0.7500
Re4 0.7500 0.7500 0.2500
Rh1 0.2500 0.2500 0.7500
Rh2 0.2500 0.7500 0.2500
Rh3 0.7500 0.2500 0.2500
Rh4 0.7500 0.7500 0.7500

---

# 2
Computed, not measured: an optimized crystal structure of LuTaReRu at the GGA-PBE level of DFT.

Values from the calculation:
energy	-0.7198	Ry per atom
ΔH_f (0 K)	-269	meV per atom
symmetry	No. 216
crystal system	cubic

Cell lengths 6.5027, 6.5027, 6.5027 Å; angles 90.00, 90.00, 90.00 degrees
Fractional coordinates of all 16 atoms:
Lu1 0.0000 0.0000 0.0000
Lu2 0.0000 0.5000 0.5000
Lu3 0.5000 0.0000 0.5000
Lu4 0.5000 0.5000 0.0000
Ta1 0.0000 0.0000 0.5000
Ta2 0.0000 0.5000 0.0000
Ta3 0.5000 0.0000 0.0000
Ta4 0.5000 0.5000 0.5000
Re1 0.2500 0.2500 0.2500
Re2 0.2500 0.7500 0.7500
Re3 0.7500 0.2500 0.7500
Re4 0.7500 0.7500 0.2500
Ru1 0.2500 0.2500 0.7500
Ru2 0.2500 0.7500 0.2500
Ru3 0.7500 0.2500 0.2500
Ru4 0.7500 0.7500 0.7500

---

# 3
Computed, not measured: an optimized crystal structure of LuVReRu at the GGA-PBE level of DFT.

Values from the calculation:
energy	-0.6555	Ry per atom
ΔH_f (0 K)	-78	meV per atom
symmetry	No. 216
crystal system	cubic

Cell lengths 6.3513, 6.3513, 6.3513 Å; angles 90.00, 90.00, 90.00 degrees
Fractional coordinates of all 16 atoms:
Lu1 0.0000 0.0000 0.0000
Lu2 0.0000 0.5000 0.5000
Lu3 0.5000 0.0000 0.5000
Lu4 0.5000 0.5000 0.0000
V1 0.0000 0.0000 0.5000
V2 0.0000 0.5000 0.0000
V3 0.5000 0.0000 0.0000
V4 0.5000 0.5000 0.5000
Re1 0.2500 0.2500 0.7500
Re2 0.2500 0.7500 0.2500
Re3 0.7500 0.2500 0.2500
Re4 0.7500 0.7500 0.7500
Ru1 0.2500 0.2500 0.2500
Ru2 0.2500 0.7500 0.7500
Ru3 0.7500 0.2500 0.7500
Ru4 0.7500 0.7500 0.2500

---

# 4
Computed, not measured: an optimized crystal structure of LuSc2Re at the GGA-PBE level of DFT.

Values from the calculation:
energy	-0.5371	Ry per atom
ΔH_f (0 K)	101	meV per atom
symmetry	No. 166
crystal system	trigonal

Cell lengths 4.8517, 4.8517, 11.9981 Å; angles 90.00, 90.00, 120.00 degrees
Fractional coordinates of all 12 atoms:
Lu1 0.0000 0.0000 0.0000
Lu2 0.3333 0.6667 0.6667
Lu3 0.6667 0.3333 0.3333
Sc1 0.0000 0.0000 0.2488
Sc2 0.0000 0.0000 0.7512
Sc3 0.3333 0.6667 0.4179
Sc4 0.3333 0.6667 0.9155
Sc5 0.6667 0.3333 0.0845
Sc6 0.6667 0.3333 0.5821
Re1 0.0000 0.0000 0.5000
Re2 0.3333 0.6667 0.1667
Re3 0.6667 0.3333 0.8333

---

# 5
Computed, not measured: an optimized crystal structure of LuSc2Re at the GGA-PBE level of DFT.

Values from the calculation:
energy	-0.5431	Ry per atom
ΔH_f (0 K)	19	meV per atom
symmetry	No. 123
crystal system	tetragonal

Cell lengths 3.2971, 3.2971, 8.2701 Å; angles 90.00, 90.00, 90.00 degrees
Fractional coordinates of all 4 atoms:
Lu1 0.0000 0.0000 0.0000
Sc1 0.5000 0.5000 0.3145
Sc2 0.5000 0.5000 0.6855
Re1 0.0000 0.0000 0.5000

---

# 6
Computed, not measured: an optimized crystal structure of LuScRe at the GGA-PBE level of DFT.

Values from the calculation:
energy	-0.5719	Ry per atom
ΔH_f (0 K)	-14	meV per atom
symmetry	No. 107
crystal system	tetragonal

Cell lengths 3.3435, 3.3435, 11.7057 Å; angles 90.00, 90.00, 90.00 degrees
Fractional coordinates of all 6 atoms:
Lu1 0.0000 0.0000 0.0000
Lu2 0.5000 0.5000 0.5000
Sc1 0.0000 0.0000 0.2679
Sc2 0.5000 0.5000 0.7679
Re1 0.0000 0.0000 0.6425
Re2 0.5000 0.5000 0.1425

---

# 7
Computed, not measured: an optimized crystal structure of LuScZnRe at the GGA-PBE level of DFT.

Values from the calculation:
energy	-0.4610	Ry per atom
ΔH_f (0 K)	-128	meV per atom
symmetry	No. 216
crystal system	cubic

Cell lengths 6.7017, 6.7017, 6.7017 Å; angles 90.00, 90.00, 90.00 degrees
Fractional coordinates of all 16 atoms:
Lu1 0.0000 0.0000 0.0000
Lu2 0.0000 0.5000 0.5000
Lu3 0.5000 0.0000 0.5000
Lu4 0.5000 0.5000 0.0000
Sc1 0.0000 0.0000 0.5000
Sc2 0.0000 0.5000 0.0000
Sc3 0.5000 0.0000 0.0000
Sc4 0.5000 0.5000 0.5000
Zn1 0.2500 0.2500 0.7500
Zn2 0.2500 0.7500 0.2500
Zn3 0.7500 0.2500 0.2500
Zn4 0.7500 0.7500 0.7500
Re1 0.2500 0.2500 0.2500
Re2 0.2500 0.7500 0.7500
Re3 0.7500 0.2500 0.7500
Re4 0.7500 0.7500 0.2500

---

# 8
Computed, not measured: an optimized crystal structure of LuReSi2 at the GGA-PBE level of DFT.

Values from the calculation:
energy	-0.5145	Ry per atom
symmetry	No. 166
crystal system	trigonal
uncorrected formation energy	-4.5	kJ per mole of atoms

Cell lengths 3.2350, 3.2350, 23.5048 Å; angles 90.00, 90.00, 120.00 degrees
Fractional coordinates of all 12 atoms:
Lu1 0.0000 0.0000 0.0000
Lu2 0.3333 0.6667 0.6667
Lu3 0.6667 0.3333 0.3333
Re1 0.0000 0.0000 0.5000
Re2 0.3333 0.6667 0.1667
Re3 0.6667 0.3333 0.8333
Si1 0.0000 0.0000 0.2372
Si2 0.0000 0.0000 0.7628
Si3 0.3333 0.6667 0.4295
Si4 0.3333 0.6667 0.9038
Si5 0.6667 0.3333 0.0962
Si6 0.6667 0.3333 0.5705